Computed, not measured: a geometry-optimized Ce4Dy11Er9 structure at the PBE-GGA level of DFT.

Calculated values
The value obtained for the density of states at the Fermi level is 91.72 states/eV per cell.

a b c (Å): 16.6225 24.8198 3.6288
angles (deg): 90.00 90.00 90.00
With the nearest neighbours (Å) after each atom.
Space group Cmmm (No. 65)
One atom of each set of equivalent atoms:
Ce 0.1521 0.0996 0.0000 x8  6 Dy 3.22-3.35, 3 Er 3.50-3.54
Dy 0.0000 0.1361 0.5000 x4  4 Ce 3.24, 4 Er 3.52, 2 Dy 3.63
Dy 0.0000 0.3426 0.5000 x4  8 Er 3.61-3.64, 5 Dy 3.63-3.91
Dy 0.0000 0.5000 0.5000 x2  8 Er 3.47, 2 Dy 3.63
Dy 0.2106 0.0000 0.5000 x4  4 Ce 3.22, 4 Er 3.55
Dy 0.2286 0.3196 0.5000 x8  2 Ce 3.35, 6 Er 3.46-3.64, 3 Dy 3.53-3.63
Er 0.0000 0.0000 0.0000 x2  4 Ce 3.54, 2 Er 3.63, 8 Dy 3.83-3.94
Er 0.1016 0.2368 0.0000 x8  3 Er 3.38-3.63, 8 Dy 3.46-3.64, 1 Ce 3.51
Er 0.1412 0.4277 0.0000 x8  8 Dy 3.47-3.64, 1 Ce 3.50, 3 Er 3.59-3.63



Computed, not measured: a geometry-optimized Ce2DyEr structure at the PBE-GGA level of DFT.

Calculated values
The energy above the most stable polymorph in this dataset is 0.08 eV per formula unit. The value obtained for the density of states at the Fermi level is 10.34 states/eV per cell.

a b c (Å): 3.4602 3.4602 10.0690
angles (deg): 90.00 90.00 90.00
With the nearest neighbours (Å) after each atom.
Space group P4/mmm (No. 123)
One atom of each set of equivalent atoms:
Ce 0.0000 0.0000 0.2490 x2  4 Ce 3.46, 4 Er 3.50, 4 Dy 3.52
Dy 0.5000 0.5000 0.5000 x1  4 Dy 3.46, 8 Ce 3.52
Er 0.5000 0.5000 0.0000 x1  4 Er 3.46, 8 Ce 3.50



Computed, not measured: a geometry-optimized CeDy4Er2 structure at the PBE-GGA level of DFT.

Calculated values
The energy above the most stable polymorph in this dataset is 0.00 eV per formula unit. The value obtained for the density of states at the Fermi level is 26.73 states/eV per cell.

a b c (Å): 6.1651 3.5549 20.0288
angles (deg): 90.00 96.04 90.00
With the nearest neighbours (Å) after each atom.
Space group Cm (No. 8)
One atom of each set of equivalent atoms:
Ce 0.0000 0.0000 0.0000 x2  6 Dy 3.51-3.55, 6 Ce 3.55-3.56
Dy 0.1002 0.0000 0.2878 x2  3 Er 3.48-3.50, 9 Dy 3.51-3.56
Dy 0.1237 0.5000 0.8555 x2  3 Er 3.49-3.50, 3 Ce 3.51-3.55, 6 Dy 3.55-3.56
Dy 0.1950 0.0000 0.5710 x2  6 Er 3.47-3.52, 6 Dy 3.55-3.56
Dy 0.2190 0.5000 0.1448 x2  9 Dy 3.51-3.56, 3 Ce 3.53-3.54
Er 0.3185 0.5000 0.4297 x2  6 Dy 3.47-3.50, 6 Er 3.55-3.56
Er 0.4075 0.5000 0.7136 x2  6 Dy 3.49-3.52, 6 Er 3.55-3.56



Computed, not measured: a geometry-optimized CeDy12Er5 structure at the PBE-GGA level of DFT.

Calculated values
The value obtained for the density of states at the Fermi level is 49.91 states/eV per cell.

a b c (Å): 6.1372 10.6243 17.2902
angles (deg): 90.00 96.80 90.00
With the nearest neighbours (Å) after each atom.
Space group C2/m (No. 12)
One atom of each set of equivalent atoms:
Ce 0.0000 0.0000 0.0000 x2  6 Dy 3.50, 6 Er 3.54
Dy 0.1115 0.3333 0.3328 x8  3 Er 3.52-3.53, 9 Dy 3.52-3.54
Dy 0.1116 0.0000 0.3334 x4  3 Er 3.51-3.52, 9 Dy 3.53-3.54
Dy 0.2220 0.1661 0.1658 x8  1 Ce 3.50, 2 Er 3.50-3.51, 9 Dy 3.52-3.55
Dy 0.2236 0.5000 0.1658 x4  1 Ce 3.50, 2 Er 3.51, 9 Dy 3.52-3.55
Er 0.0000 0.1664 0.5000 x4  6 Dy 3.52-3.53, 6 Er 3.54-3.55
Er 0.0000 0.3333 0.0000 x4  6 Dy 3.50-3.51, 3 Ce 3.54, 3 Er 3.54
Er 0.0000 0.5000 0.5000 x2  6 Dy 3.51-3.53, 6 Er 3.54



Computed, not measured: a geometry-optimized CeDy6Er5 structure at the PBE-GGA level of DFT.

Calculated values
The value obtained for the density of states at the Fermi level is 37.43 states/eV per cell.

a b c (Å): 4.9876 9.9715 14.9756
angles (deg): 90.00 90.00 90.00
With the nearest neighbours (Å) after each atom.
Space group Immm (No. 71)
One atom of each set of equivalent atoms:
Ce 0.0000 0.0000 0.0000 x2  8 Dy 3.51-3.52, 4 Er 3.53
Dy 0.0000 0.2497 0.1655 x8  1 Ce 3.51, 4 Dy 3.52-3.55, 7 Er 3.52-3.54
Dy 0.0000 0.2513 0.5000 x4  4 Dy 3.52, 2 Ce 3.52, 6 Er 3.52-3.54
Er 0.0000 0.0000 0.3328 x4  4 Er 3.52-3.53, 8 Dy 3.53-3.54
Er 0.0000 0.5000 0.0000 x2  8 Dy 3.52-3.54, 4 Er 3.53
Er 0.0000 0.5000 0.3334 x4  8 Dy 3.52-3.54, 2 Er 3.52, 2 Ce 3.53



Computed, not measured: a geometry-optimized CeDyEr6 structure at the PBE-GGA level of DFT.

Calculated values
The energy above the most stable polymorph in this dataset is 0.47 eV per formula unit. The value obtained for the density of states at the Fermi level is 16.60 states/eV per cell.

a b c (Å): 6.4296 6.7040 6.8261
angles (deg): 118.60 102.83 90.76
With the nearest neighbours (Å) after each atom.
Space group P-1 (No. 2)
One atom of each set of equivalent atoms:
Ce 0.0000 0.0000 0.0000 x1  2 Dy 3.21, 4 Er 3.35-3.40
Dy 0.5000 0.0000 0.0000 x1  2 Ce 3.21, 4 Er 3.34-3.44
Er 0.2295 0.9041 0.4772 x2  5 Er 3.25-3.59, 1 Dy 3.34, 1 Ce 3.62
Er 0.2495 0.4507 0.0002 x2  5 Er 3.23-3.61, 1 Ce 3.40, 1 Dy 3.44
Er 0.2665 0.4275 0.5205 x2  6 Er 3.23-3.61, 1 Ce 3.35



Computed, not measured: a geometry-optimized CeDyEr4 structure at the PBE-GGA level of DFT.

Calculated values
The energy above the most stable polymorph in this dataset is 0.00 eV per formula unit. The value obtained for the density of states at the Fermi level is 20.41 states/eV per cell.

a b c (Å): 17.0560 3.5373 6.1304
angles (deg): 90.00 96.83 90.00
With the nearest neighbours (Å) after each atom.
Space group C2/m (No. 12)
One atom of each set of equivalent atoms:
Ce 0.0000 0.0000 0.0000 x2  6 Er 3.47-3.49, 2 Ce 3.54, 4 Dy 3.54
Dy 0.0000 0.5000 0.5000 x2  6 Er 3.49-3.50, 2 Dy 3.54, 4 Ce 3.54
Er 0.1662 0.5000 0.8908 x4  2 Ce 3.47, 9 Er 3.48-3.56, 1 Dy 3.49
Er 0.1675 0.0000 0.3866 x4  9 Er 3.47-3.56, 1 Ce 3.49, 2 Dy 3.50



Computed, not measured: a geometry-optimized Ce2DyEr structure at the PBE-GGA level of DFT.

Calculated values
The energy above the most stable polymorph in this dataset is 0.54 eV per formula unit. The value obtained for the density of states at the Fermi level is 59.35 states/eV per cell.

a b c (Å): 7.9385 7.9385 7.9385
angles (deg): 90.00 90.00 90.00
With the nearest neighbours (Å) after each atom.
Space group Fm-3m (No. 225)
One atom of each set of equivalent atoms:
Ce 0.2500 0.2500 0.2500 x8  4 Dy 3.44, 4 Er 3.44
Dy 0.0000 0.0000 0.0000 x4  8 Ce 3.44
Er 0.0000 0.0000 0.5000 x4  8 Ce 3.44



Computed, not measured: a geometry-optimized CeDy3Er structure at the PBE-GGA level of DFT.

Calculated values
The energy above the most stable polymorph in this dataset is 0.00 eV per formula unit. The value obtained for the density of states at the Fermi level is 38.82 states/eV per cell.

a b c (Å): 9.2954 7.2951 9.3197
angles (deg): 90.00 90.00 90.00
With the nearest neighbours (Å) after each atom.
Space group Pnma (No. 62)
One atom of each set of equivalent atoms:
Ce 0.1745 0.2500 0.1715 x4  6 Dy 3.19-3.37
Dy 0.1267 0.5046 0.8733 x8  3 Ce 3.19-3.37, 4 Dy 3.23-3.37
Dy 0.1716 0.7500 0.1740 x4  6 Dy 3.23-3.37
Er 0.0000 0.0000 0.5000 x4  2 Er 3.65, 8 Dy 3.67-3.91, 4 Ce 3.88-3.92



Computed, not measured: a geometry-optimized CeDy7Er3 structure at the PBE-GGA level of DFT.

Calculated values
The energy above the most stable polymorph in this dataset is 0.00 eV per formula unit. The value obtained for the density of states at the Fermi level is 38.07 states/eV per cell.

a b c (Å): 6.8689 18.3638 6.5223
angles (deg): 90.00 121.77 90.00
With the nearest neighbours (Å) after each atom.
Space group C2/m (No. 12)
One atom of each set of equivalent atoms:
Ce 0.0000 0.0000 0.0000 x2  10 Dy 3.26-3.64, 2 Er 3.43
Dy 0.0000 0.0879 0.5000 x4  3 Dy 3.23-3.39, 2 Er 3.44
Dy 0.0000 0.5000 0.5000 x2  2 Er 3.26, 2 Ce 3.26
Dy 0.2208 0.3388 0.9392 x8  4 Dy 3.33-3.52, 3 Er 3.39-3.44, 1 Ce 3.43
Er 0.0000 0.5000 0.0000 x2  10 Dy 3.26-3.64, 2 Ce 3.43
Er 0.2500 0.2500 0.5000 x4  6 Dy 3.39-3.44, 2 Er 3.43



| no. | calculated formation energy (eV/atom) | total DFT energy (no corrections) (eV/atom) | total magnetic moment (μB per cell) |
| --- | --- | --- | --- |
| 1 | 0.10 | -4.7108 | 8.02 |
| 2 | 0.11 | -5.1530 | 1.49 |
| 3 | 0.04 | -4.7449 | 1.62 |
| 4 | 0.02 | -4.6476 | 2.14 |
| 5 | 0.04 | -4.6591 | 2.21 |
| 6 | 0.23 | -4.5117 | 1.65 |
| 7 | 0.02 | -4.7771 | 1.57 |
| 8 | 0.22 | -5.0363 | 6.79 |
| 9 | 0.16 | -4.6961 | 4.48 |
| 10 | 0.16 | -4.5507 | 3.25 |